Compound: Ba4Sc2Cu2O9
Source: Alexandria
Functional: PBEsol
Structure: relaxed

Lattice parameters (Å, degrees): 8.912 8.898 5.842 70.99 70.72 38.29
Atoms (fractional coordinates):
1 Ba 0.114 0.622 0.886
2 Ba 0.378 0.886 0.622
3 Ba 0.622 0.114 0.378
4 Ba 0.886 0.378 0.114
5 Sc 0.000 0.500 0.500
6 Sc 0.500 0.000 0.000
7 Cu 0.228 0.772 0.228
8 Cu 0.772 0.228 0.772
9 O 0.000 0.000 0.000
10 O 0.158 0.618 0.382
11 O 0.244 0.244 0.756
12 O 0.250 0.250 0.250
13 O 0.382 0.842 0.158
14 O 0.618 0.158 0.842
15 O 0.750 0.750 0.750
16 O 0.756 0.756 0.244
17 O 0.842 0.382 0.618

Values from the calculation:
ρ: 5.6 g cm⁻³
Uncorrected formation energy: -41.99 eV/f.u.
Symmetry: No. 69